CaLa2ZnN: relaxed, GGA-PBE.

Unit cell a=5.098 b=5.098 c=4.866 alpha=90.00 beta=90.00 gamma=90.00
Atoms (fractional coordinates):
Ca: 0.000 0.000 0.000
La: 0.000 0.500 0.500
La: 0.500 0.000 0.500
Zn: 0.500 0.500 0.000
N: 0.000 0.000 0.500

The magnetization comes out at 0.0 μB per cell. As for the space group: P4/mmm, No. 123. For the raw formation energy, the calculation gives -3.08 eV/f.u.

---

TbCuHg: relaxed, GGA-PBE.

Unit cell a=4.410 b=4.850 c=6.348 alpha=90.00 beta=110.33 gamma=90.00
Atoms (fractional coordinates):
Tb: 0.115 0.250 0.217
Tb: 0.885 0.750 0.783
Cu: 0.227 0.750 0.475
Cu: 0.773 0.250 0.525
Hg: 0.404 0.250 0.797
Hg: 0.596 0.750 0.203

The magnetization comes out at 0.0 μB per cell. As for the space group: P2_1/m, No. 11. The total energy is -3.2750 eV/atom.

---

Cs2K9Au3: relaxed, GGA-PBE.

Unit cell a=11.480 b=11.480 c=15.502 alpha=115.02 beta=115.02 gamma=54.43
Atoms (fractional coordinates):
Cs: 0.137 0.282 0.257
Cs: 0.282 0.137 0.757
Cs: 0.718 0.863 0.243
Cs: 0.863 0.718 0.743
K: 0.055 0.066 0.424
K: 0.066 0.055 0.924
K: 0.170 0.612 0.245
K: 0.199 0.356 0.557
K: 0.295 0.539 0.976
K: 0.337 0.663 0.750
K: 0.356 0.199 0.057
K: 0.388 0.830 0.255
K: 0.461 0.705 0.524
K: 0.539 0.295 0.476
K: 0.612 0.170 0.745
K: 0.644 0.801 0.943
K: 0.663 0.337 0.250
K: 0.705 0.461 0.024
K: 0.801 0.644 0.443
K: 0.830 0.388 0.755
K: 0.934 0.945 0.076
K: 0.945 0.934 0.576
Au: 0.000 0.500 0.000
Au: 0.173 0.596 0.464
Au: 0.404 0.827 0.036
Au: 0.500 0.000 0.500
Au: 0.596 0.173 0.964
Au: 0.827 0.404 0.536

The magnetization comes out at 0.0 μB per cell. As for the space group: C2/c, No. 15. The total energy is -1.6318 eV/atom.

---

SrMg2Co: relaxed, GGA-PBE.

Unit cell a=6.239 b=6.239 c=5.220 alpha=114.57 beta=114.57 gamma=30.58
Atoms (fractional coordinates):
Sr: 0.000 0.000 0.000
Mg: 0.193 0.193 0.692
Mg: 0.807 0.807 0.308
Co: 0.500 0.500 0.500

The magnetization comes out at 0.0 μB per cell. As for the space group: C2/m, No. 12. The total energy is -2.7740 eV/atom.

---

Copy entry 4 word for word.
SrMg2Co: relaxed, GGA-PBE.

Unit cell a=6.239 b=6.239 c=5.220 alpha=114.57 beta=114.57 gamma=30.58
Atoms (fractional coordinates):
Sr: 0.000 0.000 0.000
Mg: 0.193 0.193 0.692
Mg: 0.807 0.807 0.308
Co: 0.500 0.500 0.500

The magnetization comes out at 0.0 μB per cell. As for the space group: C2/m, No. 12. The total energy is -2.7740 eV/atom.